DFT (PBE with a Hubbard U) results for an optimized crystal structure of Li2Fe4O3F8.

Summary:
- Space-group type: No. 2
- Fermi-level density of states: 0.0 states/eV/f.u.
- Total energy: -5.555 eV per atom
- M_tot: 20.0 μB per cell
- Crystal system: triclinic

The structure in extended XYZ format:
```
17
Lattice="5.0706 0.0000 0.0000 -0.8116 6.5706 0.0000 -1.7552 -2.4435 6.2473" Properties=species:S:1:pos:R:3 pbc="T T T"
Li 0.0502 0.2017 2.4919
Li 2.4535 3.9254 3.7554
Fe -0.1669 3.4909 1.4800
Fe 0.1570 -0.7366 6.0542
Fe 2.3467 4.8637 0.1930
Fe 2.6706 0.6362 4.7673
O -0.8917 1.1472 5.9448
O 2.5353 0.0000 0.0000
O 3.3955 2.9799 0.3025
F -1.0073 5.3319 1.2513
F -0.8979 3.4148 3.2008
F 0.7787 1.7143 1.5581
F 0.9636 -0.2779 4.1573
F 1.5402 4.4050 2.0900
F 1.7251 2.4128 4.6892
F 3.4017 0.7123 3.0465
F 3.5110 -1.2048 4.9960
```